[1]
First-principles (PBE) data for Cs2TaNb2 after structural relaxation, as listed in the Alexandria database.

Cell and atoms, written as POSCAR:
```
Cs2TaNb2
1.0
6.861 0.000 0.000
0.000 6.861 0.000
0.000 0.000 7.002
Cs Ta Nb
4 2 4
Direct
0.183 0.317 0.000
0.317 0.817 0.000
0.683 0.183 0.000
0.817 0.683 0.000
0.000 0.000 0.500
0.500 0.500 0.500
0.164 0.664 0.500
0.336 0.164 0.500
0.664 0.836 0.500
0.836 0.336 0.500
```

Properties
Size of the total moment, μB/cell: 2.31
Electronic total energy, eV/atom: -5.283
SG: No. 127
Mass density, g/cm³: 6.4
E_form, eV/atom: 1.457
Fermi-level density of states, states/eV/f.u.: 5.127

---

[2]
First-principles (PBE) data for LiYHfOs after structural relaxation, as listed in the Alexandria database.

Cell and atoms, written as POSCAR:
```
LiYHfOs
1.0
0.000 3.364 3.364
3.364 0.000 3.364
3.364 3.364 0.000
Li Y Hf Os
1 1 1 1
Direct
0.000 0.000 0.000
0.250 0.250 0.250
0.750 0.750 0.750
0.500 0.500 0.500
```

Properties
Size of the total moment, μB/cell: 0.00
Electronic total energy, eV/atom: -7.639
SG: No. 216
Mass density, g/cm³: 10.1
E_form, eV/atom: -0.249
Fermi-level density of states, states/eV/f.u.: 3.046

---

[3]
First-principles (PBE) data for TbPm6Ho2 after structural relaxation, as listed in the Alexandria database.

Cell and atoms, written as POSCAR:
```
TbPm6Ho2
1.0
3.616 0.000 0.000
-0.017 8.852 0.000
-1.802 -0.031 9.376
Tb Pm Ho
1 6 2
Direct
0.000 0.000 0.000
0.109 0.665 0.219
0.221 0.334 0.442
0.334 0.001 0.669
0.666 0.999 0.331
0.779 0.666 0.558
0.891 0.335 0.781
0.445 0.668 0.890
0.555 0.332 0.110
```

Properties
Size of the total moment, μB/cell: 0.00
Electronic total energy, eV/atom: -4.683
SG: No. 2
Mass density, g/cm³: 7.5
E_form, eV/atom: 0.016
Fermi-level density of states, states/eV/f.u.: 13.223

---

[4]
First-principles (PBE) data for Hf4ZnOs2 after structural relaxation, as listed in the Alexandria database.

Cell and atoms, written as POSCAR:
```
Hf4ZnOs2
1.0
-3.258 3.258 3.204
3.258 -3.258 3.204
3.258 3.258 -3.204
Hf Zn Os
4 1 2
Direct
0.000 0.000 0.500
0.000 0.500 0.000
0.500 0.000 0.000
0.500 0.500 0.500
0.000 0.000 0.000
0.000 0.500 0.500
0.500 0.000 0.500
```

Properties
Size of the total moment, μB/cell: 0.00
Electronic total energy, eV/atom: -9.392
SG: No. 139
Mass density, g/cm³: 14.2
E_form, eV/atom: -0.314
Fermi-level density of states, states/eV/f.u.: 4.442

---

Q: The lowest Fermi-level density of states belongs to which entry?
A: LiYHfOs

---

Repeat the third record exactly.
First-principles (PBE) data for TbPm6Ho2 after structural relaxation, as listed in the Alexandria database.

Cell and atoms, written as POSCAR:
```
TbPm6Ho2
1.0
3.616 0.000 0.000
-0.017 8.852 0.000
-1.802 -0.031 9.376
Tb Pm Ho
1 6 2
Direct
0.000 0.000 0.000
0.109 0.665 0.219
0.221 0.334 0.442
0.334 0.001 0.669
0.666 0.999 0.331
0.779 0.666 0.558
0.891 0.335 0.781
0.445 0.668 0.890
0.555 0.332 0.110
```

Properties
Size of the total moment, μB/cell: 0.00
Electronic total energy, eV/atom: -4.683
SG: No. 2
Mass density, g/cm³: 7.5
E_form, eV/atom: 0.016
Fermi-level density of states, states/eV/f.u.: 13.223

---

Q: What is the formula in the fourth record?
A: Hf4ZnOs2